Record 1
This record from the Alexandria database describes crystalline InCoCu2 at its relaxed geometry. The functional is PBE.

Cell lengths 4.645, 4.645, 4.645 Å; angles 131.24, 131.24, 71.43 degrees
Last column: magnetic moment on the atom in μB.
Fractional coordinates of all 4 atoms:
1 In 0.250 0.750 0.500  -0.02
2 Co 0.750 0.250 0.500  0.84
3 Cu 0.000 0.000 0.000  0.00
4 Cu 0.500 0.500 0.000  0.00

DFT total energy in eV/atom: -4.335
ΔE_f in eV per atom: 0.174
V in Å³/atom: 13.86
Magnetic moment in Bohr magnetons per cell: 0.8
Symmetry: I4/mmm

=====

Record 2
This record from the Alexandria database describes crystalline Cs2Na4As at its relaxed geometry. The functional is PBE.

Cell lengths 5.772, 5.772, 12.674 Å; angles 76.84, 76.84, 90.00 degrees
Fractional coordinates of all 7 atoms:
1 Na 0.000 0.500 0.000
2 Na 0.500 0.000 0.000
3 Na 0.117 0.117 0.766
4 Na 0.883 0.883 0.234
5 Cs 0.678 0.678 0.645
6 Cs 0.322 0.322 0.355
7 As 0.000 0.000 0.000

DFT total energy in eV/atom: -1.795
ΔE_f in eV per atom: -0.133
V in Å³/atom: 57.11
Magnetic moment in Bohr magnetons per cell: 0.0
Symmetry: I4/mmm

=====

Record 3
This record from the Alexandria database describes crystalline Ac5Ir3 at its relaxed geometry. The functional is PBE.

Cell lengths 7.140, 11.724, 11.724 Å; angles 90.00, 90.00, 90.00 degrees
Fractional coordinates of all 32 atoms:
1 Ac 0.895 0.704 0.093
2 Ac 0.605 0.907 0.296
3 Ac 0.395 0.296 0.093
4 Ac 0.395 0.593 0.204
5 Ac 0.105 0.907 0.704
6 Ac 0.395 0.704 0.907
7 Ac 0.605 0.204 0.407
8 Ac 0.895 0.593 0.796
9 Ac 0.395 0.407 0.796
10 Ac 0.000 0.500 0.500
11 Ac 0.105 0.204 0.593
12 Ac 0.105 0.093 0.296
13 Ac 0.500 0.500 0.500
14 Ac 0.500 0.000 0.000
15 Ac 0.605 0.796 0.593
16 Ac 0.895 0.296 0.907
17 Ac 0.000 0.000 0.000
18 Ac 0.605 0.093 0.704
19 Ac 0.105 0.796 0.407
20 Ac 0.895 0.407 0.204
21 Ir 0.365 0.000 0.500
22 Ir 0.250 0.347 0.347
23 Ir 0.135 0.500 0.000
24 Ir 0.750 0.847 0.847
25 Ir 0.750 0.347 0.653
26 Ir 0.750 0.153 0.153
27 Ir 0.750 0.653 0.347
28 Ir 0.250 0.847 0.153
29 Ir 0.635 0.500 0.000
30 Ir 0.250 0.153 0.847
31 Ir 0.250 0.653 0.653
32 Ir 0.865 0.000 0.500

DFT total energy in eV/atom: -6.464
ΔE_f in eV per atom: -0.573
Energy above the lowest structure with this stoichiometry in eV per atom: 0.0000
V in Å³/atom: 30.67
Magnetic moment in Bohr magnetons per cell: 0.0
Symmetry: P4/ncc

=====

Record 4
This record from the Alexandria database describes crystalline Tb4CI2 at its relaxed geometry. The functional is PBE.

Cell lengths 5.134, 5.134, 8.244 Å; angles 71.86, 71.86, 90.00 degrees
Fractional coordinates of all 7 atoms:
1 C 0.000 0.000 0.000
2 I 0.623 0.623 0.754
3 I 0.377 0.377 0.246
4 Tb 0.500 0.000 0.000
5 Tb 0.000 0.500 0.000
6 Tb 0.163 0.163 0.674
7 Tb 0.837 0.837 0.326

DFT total energy in eV/atom: -4.689
V in Å³/atom: 27.87
Raw formation energy in eV per atom: -0.282
Magnetic moment in Bohr magnetons per cell: 0.0
Symmetry: I4/mmm

=====

Record 5
This record from the Alexandria database describes crystalline SrSbRh4 at its relaxed geometry. The functional is PBE.

Cell lengths 5.377, 5.377, 5.377 Å; angles 60.00, 60.00, 60.00 degrees
Fractional coordinates of all 6 atoms:
1 Sb 0.750 0.750 0.750
2 Rh 0.376 0.376 0.872
3 Rh 0.872 0.376 0.376
4 Rh 0.376 0.872 0.376
5 Rh 0.376 0.376 0.376
6 Sr 0.000 0.000 0.000

DFT total energy in eV/atom: -5.995
V in Å³/atom: 18.32
Raw formation energy in eV per atom: -0.126
Magnetic moment in Bohr magnetons per cell: 0.0
Symmetry: F-43m

=====

Record 6
This record from the Alexandria database describes crystalline AgPb2 at its relaxed geometry. The functional is PBE.

Cell lengths 6.489, 6.489, 10.264 Å; angles 90.00, 90.00, 120.00 degrees
Fractional coordinates of all 12 atoms:
1 Pb 0.829 0.171 0.250
2 Pb 0.342 0.171 0.250
3 Pb 0.171 0.342 0.750
4 Pb 0.000 0.000 0.500
5 Pb 0.000 0.000 0.000
6 Pb 0.658 0.829 0.750
7 Pb 0.171 0.829 0.750
8 Pb 0.829 0.658 0.250
9 Ag 0.333 0.667 0.483
10 Ag 0.667 0.333 0.517
11 Ag 0.667 0.333 0.983
12 Ag 0.333 0.667 0.017

DFT total energy in eV/atom: -3.029
ΔE_f in eV per atom: 0.394
V in Å³/atom: 31.19
Magnetic moment in Bohr magnetons per cell: 0.0
Symmetry: P6_3/mmc